No. 1
The following is a DFT calculation (PBEsol) of TaP2Ru after structural relaxation.

a b c (Å): 3.0013 3.0013 5.9575
angles (deg): 90.00 90.00 90.00
Positions (direct):
Ta  0.5000  0.5000  0.5000
P  0.0000  0.0000  0.7510
P  0.0000  0.0000  0.2490
Ru  0.5000  0.5000  0.0000

Output
ΔE to the lowest computed polymorph: 23 meV per atom
DFT formation energy: -0.403 eV/atom

---

No. 2
The following is a DFT calculation (PBEsol) of TaPRu after structural relaxation.

a b c (Å): 4.0944 4.0944 4.0944
angles (deg): 60.00 60.00 60.00
Positions (direct):
Ru  0.2500  0.2500  0.2500
P  0.5000  0.5000  0.5000
Ta  0.0000  0.0000  0.0000

Output
DFT formation energy: -0.520 eV/atom

---

No. 3
The following is a DFT calculation (PBEsol) of TaTcPRu2 after structural relaxation.

a b c (Å): 4.6009 4.5932 4.5932
angles (deg): 90.00 90.00 90.00
Positions (direct):
Ta  0.0000  0.0000  0.0000
Ru  0.0000  0.0000  0.5000
Ru  0.0000  0.5000  0.0000
P  0.5000  0.0000  0.0000
Tc  0.5000  0.5000  0.5000

Output
DFT formation energy: 1.821 eV/atom

---

No. 4
The following is a DFT calculation (PBEsol) of TbP12Ru4 after structural relaxation.

a b c (Å): 6.9235 6.9235 6.9235
angles (deg): 109.47 109.47 109.47
Positions (direct):
P  0.1438  0.5004  0.3566
P  0.3566  0.1438  0.5004
P  0.5004  0.3566  0.1438
P  0.3566  0.8562  0.2128
P  0.8562  0.2128  0.3566
P  0.4996  0.6434  0.8562
P  0.7872  0.6434  0.1438
P  0.2128  0.3566  0.8562
P  0.1438  0.7872  0.6434
P  0.8562  0.4996  0.6434
P  0.6434  0.8562  0.4996
P  0.6434  0.1438  0.7872
Ru  0.0000  0.5000  0.0000
Ru  0.0000  0.0000  0.5000
Ru  0.5000  0.5000  0.5000
Ru  0.5000  0.0000  0.0000
Tb  0.0000  0.0000  0.0000

Output
DFT formation energy: -0.706 eV/atom

---

No. 5
The following is a DFT calculation (PBEsol) of TcPRu2 after structural relaxation.

a b c (Å): 2.8099 2.8099 6.5052
angles (deg): 90.00 90.00 90.00
Positions (direct):
P  0.5000  0.5000  0.7557
Ru  0.0000  0.0000  0.9596
Ru  0.5000  0.5000  0.2591
Tc  0.0000  0.0000  0.5256

Output
DFT formation energy: -0.256 eV/atom

---

No. 6
The following is a DFT calculation (PBEsol) of TcPRu2 after structural relaxation.

a b c (Å): 2.7438 2.7438 8.1684
angles (deg): 80.33 80.33 60.00
Positions (direct):
Tc  0.5000  0.5000  0.5000
Ru  0.2575  0.2575  0.2276
Ru  0.7425  0.7425  0.7724
P  0.0000  0.0000  0.0000

Output
DFT formation energy: -0.121 eV/atom

---

No. 7
The following is a DFT calculation (PBEsol) of TePRu2 after structural relaxation.

a b c (Å): 3.5354 4.7529 4.7529
angles (deg): 63.86 68.17 68.17
Positions (direct):
Ru  0.6945  0.3055  0.3055
Ru  0.3055  0.6945  0.6945
Te  0.5000  0.0000  0.0000
P  0.0000  0.5000  0.5000

Output
ΔE to the lowest computed polymorph: 286 meV per atom
Energy relative to the elements, uncorrected: 0.182 eV per atom

---

No. 8
The following is a DFT calculation (PBEsol) of TePRu2 after structural relaxation.

a b c (Å): 3.0390 3.6950 5.6733
angles (deg): 90.00 90.00 90.00
Positions (direct):
P  0.5000  0.5000  0.8610
Ru  0.5000  0.5000  0.2553
Ru  0.0000  0.0000  0.9324
Te  0.0000  0.0000  0.4514

Output
ΔE to the lowest computed polymorph: 25 meV per atom
Energy relative to the elements, uncorrected: -0.079 eV per atom

---

No. 9
The following is a DFT calculation (PBEsol) of TePRu4 after structural relaxation.

a b c (Å): 5.1056 5.1056 5.1056
angles (deg): 60.00 60.00 60.00
Positions (direct):
P  0.0000  0.0000  0.0000
Ru  0.3746  0.8763  0.3746
Ru  0.3746  0.3746  0.3746
Ru  0.8763  0.3746  0.3746
Ru  0.3746  0.3746  0.8763
Te  0.7500  0.7500  0.7500

Output
Energy relative to the elements, uncorrected: 0.839 eV per atom

---

No. 10
The following is a DFT calculation (PBEsol) of Te2PRu after structural relaxation.

a b c (Å): 3.0164 3.7779 8.0001
angles (deg): 103.66 100.87 90.00
Positions (direct):
Te  0.3441  0.3441  0.6881
Te  0.6559  0.6559  0.3119
P  0.5000  0.0000  0.0000
Ru  0.0000  0.5000  0.0000

Output
Energy relative to the elements, uncorrected: 0.139 eV per atom

---

No. 11
The following is a DFT calculation (PBEsol) of TePRu2 after structural relaxation.

a b c (Å): 2.9749 2.9749 9.3200
angles (deg): 80.82 80.82 60.00
Positions (direct):
P  0.2736  0.2736  0.1792
Ru  0.7448  0.7448  0.7656
Ru  0.9972  0.9972  0.0085
Te  0.4844  0.4844  0.5466

Output
ΔE to the lowest computed polymorph: 326 meV per atom
Energy relative to the elements, uncorrected: 0.222 eV per atom

---

No. 12
The following is a DFT calculation (PBEsol) of TePRu2 after structural relaxation.

a b c (Å): 3.0462 4.0909 5.0525
angles (deg): 90.00 90.00 90.00
Positions (direct):
Ru  0.5000  0.0000  0.5000
Ru  0.0000  0.0000  0.0000
Te  0.5000  0.5000  0.0000
P  0.0000  0.5000  0.5000

Output
ΔE to the lowest computed polymorph: 695 meV per atom
Energy relative to the elements, uncorrected: 0.591 eV per atom

---

No. 13
The following is a DFT calculation (PBEsol) of TePRu2 after structural relaxation.

a b c (Å): 3.2803 4.2755 4.2755
angles (deg): 90.00 90.00 90.00
Positions (direct):
Ru  0.0000  0.0000  0.5000
Ru  0.0000  0.5000  0.0000
Te  0.5000  0.5000  0.5000
P  0.5000  0.0000  0.0000

Output
ΔE to the lowest computed polymorph: 329 meV per atom
Energy relative to the elements, uncorrected: 0.225 eV per atom

---

No. 14
The following is a DFT calculation (PBEsol) of TeP2Ru after structural relaxation.

a b c (Å): 5.9561 6.4878 5.9561
angles (deg): 117.32 90.00 117.32
Positions (direct):
Te  0.0000  0.0000  0.0000
Te  0.2500  0.5000  0.7500
P  0.4453  0.2500  0.3750
P  0.6250  0.7500  0.1953
P  0.8047  0.2500  0.8750
P  0.1250  0.7500  0.5547
Ru  0.7500  0.5000  0.2500
Ru  0.5000  0.0000  0.5000

Output
Energy relative to the elements, uncorrected: 0.148 eV per atom

---

No. 15
The following is a DFT calculation (PBEsol) of TeP2Ru after structural relaxation.

a b c (Å): 2.9138 4.8995 5.6895
angles (deg): 115.50 104.84 90.00
Positions (direct):
Te  0.0000  0.5000  0.0000
P  0.8065  0.8065  0.6129
P  0.1935  0.1935  0.3871
Ru  0.5000  0.0000  0.0000

Output
Energy relative to the elements, uncorrected: 0.311 eV per atom

---

No. 16
The following is a DFT calculation (PBEsol) of TeP2Ru after structural relaxation.

a b c (Å): 4.4523 4.4523 4.4523
angles (deg): 109.50 109.50 109.41
Positions (direct):
P  0.0000  0.5000  0.5000
P  0.5000  0.0000  0.5000
Te  0.5000  0.5000  0.0000
Ru  0.0000  0.0000  0.0000

Output
Energy relative to the elements, uncorrected: 0.278 eV per atom

---

No. 17
The following is a DFT calculation (PBEsol) of TePRu2 after structural relaxation.

a b c (Å): 3.0124 3.7246 6.4823
angles (deg): 100.21 90.00 113.85
Positions (direct):
P  0.5000  0.0000  0.0000
Ru  0.7615  0.5230  0.8241
Ru  0.2385  0.4770  0.1759
Te  0.0000  0.0000  0.5000

Output
ΔE to the lowest computed polymorph: 0 meV per atom
Energy relative to the elements, uncorrected: -0.104 eV per atom

---

No. 18
The following is a DFT calculation (PBEsol) of TeP2Ru after structural relaxation.

a b c (Å): 3.0841 4.5340 4.5340
angles (deg): 90.00 90.00 90.00
Positions (direct):
Te  0.5000  0.0000  0.0000
P  0.0000  0.5000  0.0000
P  0.0000  0.0000  0.5000
Ru  0.5000  0.5000  0.5000

Output
Energy relative to the elements, uncorrected: 0.613 eV per atom

---

No. 19
The following is a DFT calculation (PBEsol) of TiPRu after structural relaxation.

a b c (Å): 3.6263 6.1941 6.1941
angles (deg): 120.00 90.00 90.00
Positions (direct):
Ru  0.0000  0.7499  0.7499
Ru  0.0000  0.0000  0.2501
Ru  0.0000  0.2501  0.0000
Ti  0.5000  0.5840  0.0000
Ti  0.5000  0.0000  0.5840
Ti  0.5000  0.4160  0.4160
P  0.0000  0.6667  0.3333
P  0.0000  0.3333  0.6667
P  0.5000  0.0000  0.0000

Output
DFT formation energy: -1.074 eV/atom

---

No. 20
The following is a DFT calculation (PBEsol) of Tl2PRu after structural relaxation.

a b c (Å): 3.2943 3.2943 8.9630
angles (deg): 79.41 79.41 60.00
Positions (direct):
P  0.5215  0.5215  0.4356
Tl  0.7577  0.7577  0.7269
Tl  0.9858  0.9858  0.0426
Ru  0.2350  0.2350  0.2950

Output
DFT formation energy: 0.032 eV/atom

---

No. 21
The following is a DFT calculation (PBEsol) of TlP3Ru after structural relaxation.

a b c (Å): 4.6072 4.6072 4.6072
angles (deg): 90.00 90.00 90.00
Positions (direct):
P  0.0000  0.5000  0.0000
P  0.5000  0.0000  0.0000
P  0.0000  0.0000  0.5000
Tl  0.5000  0.5000  0.5000
Ru  0.0000  0.0000  0.0000

Output
DFT formation energy: 0.486 eV/atom

---

No. 22
The following is a DFT calculation (PBEsol) of TlPRu2 after structural relaxation.

a b c (Å): 2.9189 2.9189 6.8827
angles (deg): 90.00 90.00 90.00
Positions (direct):
P  0.5000  0.5000  0.5000
Ru  0.0000  0.0000  0.6953
Ru  0.0000  0.0000  0.3047
Tl  0.5000  0.5000  0.0000

Output
DFT formation energy: -0.006 eV/atom

---

No. 23
The following is a DFT calculation (PBEsol) of YP2Ru2 after structural relaxation.

a b c (Å): 4.0015 4.0015 5.5243
angles (deg): 111.23 111.23 90.00
Positions (direct):
P  0.3754  0.3754  0.7509
P  0.6246  0.6246  0.2491
Ru  0.2500  0.7500  0.5000
Ru  0.7500  0.2500  0.5000
Y  0.0000  0.0000  0.0000

Output
DFT formation energy: -1.095 eV/atom

---

No. 24
The following is a DFT calculation (PBEsol) of YPRu2 after structural relaxation.

a b c (Å): 3.9515 4.0296 5.3516
angles (deg): 108.79 90.00 119.36
Positions (direct):
Ru  0.7971  0.5942  0.8790
Ru  0.2029  0.4058  0.1210
Y  0.0000  0.0000  0.5000
P  0.5000  0.0000  0.0000

Output
DFT formation energy: -0.382 eV/atom

---

No. 25
The following is a DFT calculation (PBEsol) of YPRu2 after structural relaxation.

a b c (Å): 2.9805 2.9805 7.0459
angles (deg): 90.00 90.00 90.00
Positions (direct):
Y  0.0000  0.0000  0.5052
P  0.5000  0.5000  0.8058
Ru  0.0000  0.0000  0.9700
Ru  0.5000  0.5000  0.2191

Output
DFT formation energy: -0.246 eV/atom

---

No. 26
The following is a DFT calculation (PBEsol) of Y2PRu after structural relaxation.

a b c (Å): 3.5553 4.6564 4.6564
angles (deg): 90.00 90.00 90.00
Positions (direct):
Ru  0.5000  0.0000  0.0000
P  0.5000  0.5000  0.5000
Y  0.0000  0.5000  0.0000
Y  0.0000  0.0000  0.5000

Output
ΔE to the lowest computed polymorph: 245 meV per atom
DFT formation energy: -0.678 eV/atom

---

No. 27
The following is a DFT calculation (PBEsol) of Y2PRu after structural relaxation.

a b c (Å): 3.9292 3.9535 5.5497
angles (deg): 110.87 90.00 90.00
Positions (direct):
Y  0.0000  0.1136  0.2271
Y  0.5000  0.3921  0.7842
P  0.0000  0.8236  0.6473
Ru  0.5000  0.6820  0.3639

Output
ΔE to the lowest computed polymorph: 0 meV per atom
DFT formation energy: -0.923 eV/atom

---

No. 28
The following is a DFT calculation (PBEsol) of YP2Ru after structural relaxation.

a b c (Å): 3.9159 4.6209 4.6209
angles (deg): 70.72 64.93 64.93
Positions (direct):
P  0.3025  0.6975  0.6975
P  0.6975  0.3025  0.3025
Ru  0.0000  0.5000  0.5000
Y  0.5000  0.0000  0.0000

Output
DFT formation energy: -0.746 eV/atom

---

No. 29
The following is a DFT calculation (PBEsol) of Zn2PRu2 after structural relaxation.

a b c (Å): 4.0334 5.9250 5.9250
angles (deg): 90.00 90.00 90.00
Positions (direct):
Zn  0.5000  0.6505  0.8495
Zn  0.5000  0.1505  0.6505
Zn  0.5000  0.8495  0.3495
Zn  0.5000  0.3495  0.1505
Ru  0.0000  0.3422  0.8422
Ru  0.0000  0.6578  0.1578
Ru  0.0000  0.8422  0.6578
Ru  0.0000  0.1578  0.3422
P  0.0000  0.0000  0.0000
P  0.0000  0.5000  0.5000

Output
DFT formation energy: -0.255 eV/atom

---

no.,E (eV for the cell shown)
1,-35.9
2,-30.1
3,-40.9
4,-127.2
5,-38.4
6,-37.9
7,-28.9
8,-30.0
9,-45.0
10,-22.5
11,-28.8
12,-27.3
13,-28.8
14,-49.4
15,-24.0
16,-24.2
17,-30.1
18,-22.8
19,-82.5
20,-21.1
21,-27.7
22,-28.8
23,-44.2
24,-34.5
25,-33.9
26,-32.3
27,-33.3
28,-31.6
29,-61.2